# 1
VASP calculation (GGA-PBE) on an optimized crystal structure of B2C. Values from VASP.

Summary:
Space group: P-4m2 (115)
Total energy (eV per atom): -7.153
D(E_F) (states/eV/cell): 1.55

```
&SYSTEM
  ibrav = 0, nat = 12, ntyp = 2
/
ATOMIC_SPECIES
C 12.01 C.upf
B 10.81 B.upf
ATOMIC_POSITIONS crystal
C 0.5000 0.0000 0.7669
C 0.5000 0.5000 0.8268
C 0.5000 0.5000 0.1732
C 0.0000 0.5000 0.2331
B 0.0000 0.5000 0.9063
B 0.5000 0.0000 0.0937
B 0.0000 0.0000 0.0000
B 0.0000 0.5000 0.5937
B 0.0000 0.0000 0.3120
B 0.0000 0.0000 0.6880
B 0.5000 0.5000 0.5000
B 0.5000 0.0000 0.4063
CELL_PARAMETERS angstrom
-0.6995 -0.7530 -2.1770
0.5924 -2.2574 0.5905
-13.0179 -2.1294 4.9194
```



# 2
VASP calculation (GGA-PBE) on an optimized crystal structure of TbSm12Dy7. Values from VASP.

Summary:
Space group: R-3 (148)
Total energy (eV per atom): -4.395
D(E_F) (states/eV/cell): 21.80

```
&SYSTEM
  ibrav = 0, nat = 20, ntyp = 3
/
ATOMIC_SPECIES
Dy 162.50 Dy.upf
Sm 150.36 Sm.upf
Tb 158.93 Tb.upf
ATOMIC_POSITIONS crystal
Dy 0.5000 0.5000 0.5000
Dy 0.3488 0.0183 0.0824
Dy 0.0183 0.0824 0.3488
Dy 0.9176 0.6512 0.9817
Dy 0.6512 0.9817 0.9176
Dy 0.0824 0.3488 0.0183
Dy 0.9817 0.9176 0.6512
Sm 0.2497 0.6828 0.8153
Sm 0.8153 0.2497 0.6828
Sm 0.5883 0.5236 0.8543
Sm 0.3172 0.1847 0.7503
Sm 0.1457 0.4117 0.4764
Sm 0.6828 0.8153 0.2497
Sm 0.8543 0.5883 0.5236
Sm 0.4117 0.4764 0.1457
Sm 0.1847 0.7503 0.3172
Sm 0.7503 0.3172 0.1847
Sm 0.5236 0.8543 0.5883
Sm 0.4764 0.1457 0.4117
Tb 0.0000 0.0000 0.0000
CELL_PARAMETERS angstrom
-2.9153 -0.7786 -8.2552
5.1594 -7.1034 -0.4205
-6.8008 -4.2989 3.5386
```



# 3
VASP calculation (GGA-PBE) on an optimized crystal structure of KTlNi. Values from VASP.

Summary:
Space group: F-43m (216)
Total energy (eV per atom): -2.596
D(E_F) (states/eV/cell): 1.78

```
&SYSTEM
  ibrav = 0, nat = 3, ntyp = 3
/
ATOMIC_SPECIES
K 39.10 K.upf
Ni 58.69 Ni.upf
Tl 204.38 Tl.upf
ATOMIC_POSITIONS crystal
K 0.5000 0.5000 0.5000
Ni 0.7500 0.7500 0.7500
Tl 0.0000 0.0000 0.0000
CELL_PARAMETERS angstrom
4.9055 0.0000 0.0000
2.4528 4.2483 0.0000
2.4528 1.4161 4.0053
```



# 4
VASP calculation (GGA-PBE) on an optimized crystal structure of CuICl2. Values from VASP.

Summary:
Space group: P1 (1)
Total energy (eV per atom): -2.613
Formation energy (no corrections) (kJ/mol of atoms): -26.8

```
&SYSTEM
  ibrav = 0, nat = 4, ntyp = 3
/
ATOMIC_SPECIES
Cl 35.45 Cl.upf
Cu 63.55 Cu.upf
I 126.90 I.upf
ATOMIC_POSITIONS crystal
Cl 0.8217 0.8696 0.3220
Cl 0.3455 0.1126 0.8924
Cu 0.7606 0.8635 0.9351
I 0.5772 0.5080 0.6074
CELL_PARAMETERS angstrom
4.0468 -0.0012 0.0000
-1.6069 5.1230 -0.0007
-0.3474 -0.3804 5.7574
```